CuS8Br2 (PBE, relaxed); DOS at the Fermi energy = 4.59 states/eV per cell; formation energy without anion corrections = 150.7 meV/atom; calculated volume = 296.6 Å³/cell; total magnetic moment = 0.0 Bohr magnetons per cell; raw total energy = -3.53 eV per atom
1.0
6.011 0.000 0.000
-3.002 6.865 0.000
-0.019 -3.766 7.188
Cu S Br
1 8 2
Direct
0.000 0.000 0.000 Cu
0.186 0.864 0.148 S
0.316 0.632 0.983 S
0.320 0.136 0.852 S
0.447 0.897 0.703 S
0.553 0.103 0.297 S
0.680 0.864 0.148 S
0.684 0.368 0.017 S
0.814 0.136 0.852 S
0.130 0.259 0.381 Br
0.870 0.741 0.619 Br